No. 1
Compound: Li15Mg4Au
Source: the Alexandria database
Functional: PBE
Structure: relaxed

Unit cell a=4.168 b=4.168 c=22.041 alpha=90.00 beta=90.00 gamma=90.00
Sites, in units of the cell vectors:
Li (0.000, 0.500, 0.085)
Li (0.500, 0.500, 0.396)
Li (0.000, 0.500, 0.500)
Li (0.500, 0.000, 0.915)
Li (0.500, 0.000, 0.500)
Li (0.500, 0.500, 0.000)
Li (0.000, 0.500, 0.915)
Li (0.500, 0.000, 0.708)
Li (0.500, 0.000, 0.085)
Li (0.500, 0.500, 0.812)
Mg (0.000, 0.000, 0.811)
Li (0.000, 0.500, 0.292)
Li (0.500, 0.500, 0.604)
Li (0.500, 0.000, 0.292)
Mg (0.000, 0.000, 0.604)
Li (0.500, 0.500, 0.188)
Li (0.000, 0.500, 0.708)
Mg (0.000, 0.000, 0.189)
Au (0.000, 0.000, 0.000)
Mg (0.000, 0.000, 0.396)

- space group = No. 123
- N(E_F) (states/eV/cell) = 7.0
- total DFT energy (no corrections) (eV/atom) = -2.0145
- formation energy (meV per atom) = -96
- calculated density (kg/m3) = 1727


No. 2
Compound: Li7Mg2Au2
Source: the Alexandria database
Functional: PBE
Structure: relaxed

Unit cell a=4.443 b=7.156 c=7.156 alpha=77.50 beta=72.30 gamma=72.30
Sites, in units of the cell vectors:
Mg (0.848, 0.647, 0.647)
Li (0.652, 0.110, 0.586)
Mg (0.152, 0.353, 0.353)
Au (0.000, 0.762, 0.238)
Li (0.348, 0.890, 0.414)
Li (0.652, 0.586, 0.110)
Au (0.000, 0.238, 0.762)
Li (0.152, 0.848, 0.848)
Li (0.848, 0.152, 0.152)
Li (0.348, 0.414, 0.890)
Li (0.500, 0.000, 0.000)

- space group = No. 12
- N(E_F) (states/eV/cell) = 4.3
- total DFT energy (no corrections) (eV/atom) = -2.3670
- formation energy (meV per atom) = -263
- calculated density (kg/m3) = 3987


No. 3
Compound: LiMgAu
Source: the Alexandria database
Functional: PBE
Structure: relaxed

Unit cell a=4.581 b=4.726 c=5.320 alpha=90.00 beta=115.76 gamma=90.00
Sites, in units of the cell vectors:
Li (0.065, 0.250, 0.134)
Mg (0.261, 0.750, 0.521)
Li (0.935, 0.750, 0.866)
Au (0.592, 0.750, 0.183)
Au (0.408, 0.250, 0.817)
Mg (0.739, 0.250, 0.479)

- space group = No. 11
- N(E_F) (states/eV/cell) = 2.4
- total DFT energy (no corrections) (eV/atom) = -2.7531
- formation energy (meV per atom) = -491
- calculated density (kg/m3) = 7306
- distance to the lowest polymorph of the same formula (eV/f.u.) = 0.05


No. 4
Compound: LiMgAu4
Source: the Alexandria database
Functional: PBE
Structure: relaxed

Unit cell a=4.935 b=4.935 c=8.777 alpha=116.47 beta=116.47 gamma=34.05
Sites, in units of the cell vectors:
Au (0.196, 0.196, 0.836)
Au (0.804, 0.804, 0.164)
Mg (0.500, 0.500, 0.500)
Au (0.149, 0.149, 0.338)
Au (0.851, 0.851, 0.662)
Li (0.000, 0.000, 0.000)

- space group = No. 12
- N(E_F) (states/eV/cell) = 1.2
- total DFT energy (no corrections) (eV/atom) = -3.1425
- formation energy (meV per atom) = -373
- calculated density (kg/m3) = 12847
- distance to the lowest polymorph of the same formula (eV/f.u.) = 0.34


No. 5
Compound: Li12Mg2Au
Source: the Alexandria database
Functional: PBE
Structure: relaxed

Unit cell a=5.670 b=5.670 c=19.115 alpha=90.00 beta=90.00 gamma=90.00
Sites, in units of the cell vectors:
Li (0.823, 0.677, 0.435)
Li (0.250, 0.750, 0.913)
Li (0.323, 0.823, 0.435)
Li (0.000, 0.000, 0.199)
Li (0.500, 0.500, 0.666)
Au (0.500, 0.000, 0.000)
Mg (0.000, 0.500, 0.269)
Mg (0.500, 0.000, 0.731)
Li (0.677, 0.177, 0.435)
Li (0.000, 0.000, 0.666)
Li (0.177, 0.677, 0.565)
Li (0.750, 0.750, 0.913)
Li (0.750, 0.250, 0.087)
Li (0.250, 0.250, 0.913)
Li (0.000, 0.000, 0.334)
Mg (0.000, 0.500, 0.731)
Li (0.323, 0.177, 0.565)
Li (0.500, 0.500, 0.334)
Au (0.000, 0.500, 0.000)
Li (0.250, 0.250, 0.087)
Li (0.177, 0.323, 0.435)
Li (0.750, 0.750, 0.087)
Li (0.500, 0.500, 0.801)
Li (0.750, 0.250, 0.913)
Li (0.677, 0.823, 0.565)
Mg (0.500, 0.000, 0.269)
Li (0.000, 0.000, 0.801)
Li (0.250, 0.750, 0.087)
Li (0.823, 0.323, 0.565)
Li (0.500, 0.500, 0.199)

- space group = No. 125
- N(E_F) (states/eV/cell) = 11.4
- total DFT energy (no corrections) (eV/atom) = -1.9570
- formation energy (meV per atom) = 5
- calculated density (kg/m3) = 1777


No. 6
Compound: Li6Mg12Au
Source: the Alexandria database
Functional: PBE
Structure: relaxed

Unit cell a=7.356 b=7.356 c=7.356 alpha=89.83 beta=89.83 gamma=89.83
Sites, in units of the cell vectors:
Mg (0.802, 0.528, 0.439)
Li (0.894, 0.261, 0.736)
Mg (0.528, 0.439, 0.802)
Mg (0.977, 0.849, 0.638)
Li (0.261, 0.736, 0.894)
Mg (0.561, 0.198, 0.472)
Li (0.739, 0.264, 0.106)
Mg (0.638, 0.977, 0.849)
Li (0.736, 0.894, 0.261)
Mg (0.439, 0.802, 0.528)
Li (0.264, 0.106, 0.739)
Mg (0.198, 0.472, 0.561)
Mg (0.849, 0.638, 0.977)
Mg (0.472, 0.561, 0.198)
Li (0.106, 0.739, 0.264)
Au (0.000, 0.000, 0.000)
Mg (0.362, 0.023, 0.151)
Mg (0.151, 0.362, 0.023)
Mg (0.023, 0.151, 0.362)

- space group = No. 148
- N(E_F) (states/eV/cell) = 7.5
- total DFT energy (no corrections) (eV/atom) = -1.8834
- formation energy (meV per atom) = -99
- calculated density (kg/m3) = 2212
- distance to the lowest polymorph of the same formula (eV/f.u.) = 0.00


No. 7
Compound: Li2Mg4Au
Source: the Alexandria database
Functional: PBE
Structure: relaxed

Unit cell a=4.766 b=4.766 c=7.310 alpha=70.97 beta=70.97 gamma=60.00
Sites, in units of the cell vectors:
Mg (0.137, 0.137, 0.589)
Au (0.000, 0.000, 0.000)
Mg (0.583, 0.583, 0.250)
Mg (0.417, 0.417, 0.750)
Li (0.716, 0.716, 0.852)
Mg (0.863, 0.863, 0.411)
Li (0.284, 0.284, 0.148)

- space group = No. 166
- N(E_F) (states/eV/cell) = 2.6
- total DFT energy (no corrections) (eV/atom) = -2.1323
- formation energy (meV per atom) = -206
- calculated density (kg/m3) = 3839


No. 8
Compound: LiMgAu
Source: the Alexandria database
Functional: PBE
Structure: relaxed

Unit cell a=5.273 b=8.528 c=4.998 alpha=90.00 beta=114.20 gamma=90.00
Sites, in units of the cell vectors:
Au (0.000, 0.736, 0.000)
Li (0.500, 0.345, 0.500)
Au (0.000, 0.236, 0.500)
Li (0.500, 0.845, 0.000)
Au (0.500, 0.022, 0.500)
Mg (0.500, 0.689, 0.500)
Mg (0.500, 0.189, 0.000)
Au (0.500, 0.522, 0.000)
Mg (0.000, 0.405, 0.000)
Li (0.000, 0.558, 0.500)
Mg (0.000, 0.905, 0.500)
Li (0.000, 0.058, 0.000)

- space group = No. 5
- N(E_F) (states/eV/cell) = 3.4
- total DFT energy (no corrections) (eV/atom) = -2.7353
- formation energy (meV per atom) = -473
- calculated density (kg/m3) = 7395
- distance to the lowest polymorph of the same formula (eV/f.u.) = 0.10


No. 9
Compound: Li2Mg2Au
Source: the Alexandria database
Functional: PBE
Structure: relaxed

Unit cell a=3.531 b=3.531 c=8.278 alpha=77.69 beta=77.69 gamma=90.00
Sites, in units of the cell vectors:
Mg (0.405, 0.405, 0.189)
Li (0.250, 0.750, 0.500)
Li (0.750, 0.250, 0.500)
Mg (0.595, 0.595, 0.811)
Au (0.000, 0.000, 0.000)

- space group = No. 139
- N(E_F) (states/eV/cell) = 1.9
- total DFT energy (no corrections) (eV/atom) = -2.1870
- formation energy (meV per atom) = -128
- calculated density (kg/m3) = 4379
- distance to the lowest polymorph of the same formula (eV/f.u.) = 1.03


No. 10
Compound: Li3Mg2Au4
Source: the Alexandria database
Functional: PBE
Structure: relaxed

Unit cell a=4.340 b=4.634 c=8.575 alpha=83.15 beta=90.00 gamma=117.92
Sites, in units of the cell vectors:
Mg (0.328, 0.655, 0.215)
Au (0.665, 0.330, 0.113)
Li (0.000, 0.000, 0.000)
Au (0.016, 0.032, 0.664)
Li (0.345, 0.691, 0.563)
Li (0.655, 0.309, 0.437)
Au (0.984, 0.968, 0.336)
Mg (0.672, 0.345, 0.785)
Au (0.335, 0.670, 0.887)

- space group = No. 12
- N(E_F) (states/eV/cell) = 3.2
- total DFT energy (no corrections) (eV/atom) = -2.9898
- formation energy (meV per atom) = -541
- calculated density (kg/m3) = 9429


No. 11
Compound: LiMg6Au2
Source: the Alexandria database
Functional: PBE
Structure: relaxed

Unit cell a=4.746 b=4.745 c=8.723 alpha=90.03 beta=90.00 gamma=120.01
Sites, in units of the cell vectors:
Au (0.333, 0.667, 0.721)
Mg (0.667, 0.333, 0.603)
Mg (0.000, 0.000, 0.187)
Mg (0.333, 0.667, 0.051)
Mg (0.000, 0.000, 0.813)
Mg (0.333, 0.667, 0.397)
Li (0.000, 0.000, 0.500)
Au (0.667, 0.333, 0.279)
Mg (0.667, 0.333, 0.949)

- space group = No. 164
- N(E_F) (states/eV/cell) = 4.6
- total DFT energy (no corrections) (eV/atom) = -2.3527
- formation energy (meV per atom) = -349
- calculated density (kg/m3) = 5337


No. 12
Compound: LiMgAu
Source: the Alexandria database
Functional: PBE
Structure: relaxed

Unit cell a=3.083 b=3.083 c=6.808 alpha=90.00 beta=90.00 gamma=120.00
Sites, in units of the cell vectors:
Mg (0.333, 0.667, 0.682)
Au (0.000, 0.000, 0.007)
Li (0.667, 0.333, 0.310)

- space group = No. 156
- N(E_F) (states/eV/cell) = 0.9
- total DFT energy (no corrections) (eV/atom) = -2.5193
- formation energy (meV per atom) = -257
- calculated density (kg/m3) = 6764
- distance to the lowest polymorph of the same formula (eV/f.u.) = 0.75


Q: Among the records above, which one has the lowest formation energy?
A: Li3Mg2Au4